The following is a DFT calculation (GGA-PBE) of an optimized crystal structure of ZrGa2Co.

Energy of formation in eV/atom: -0.388
DOS at the Fermi energy in states/eV per cell: 10.23
Calculated volume in A^3/atom: 16.1

abc: 4.0314 4.0314 13.7295
angles: 90.00 90.00 120.00
Space group R-3m (No. 166, hexagonal axes)
Inequivalent atoms, fractional coordinates:
Zr  0.0000  0.0000  0.0000
Ga  0.0000  0.0000  0.2195
Co  0.0000  0.0000  0.5000